Entry 1:
{"formula": "HfMoAu2", "functional": "PBE-GGA", "state": "relaxed", "energy_ev_per_cell": -26.8, "sg": "No. 216", "vol_a3_per_atom": 17.9, "cell": [[0.000, 3.297, 3.297], [3.297, 0.000, 3.297], [3.297, 3.297, 0.000]], "species": ["Au", "Au", "Hf", "Mo"], "fractional_positions": [[0.000, 0.000, 0.000], [0.250, 0.250, 0.250], [0.500, 0.500, 0.500], [0.750, 0.750, 0.750]]}

***

Entry 2:
{"formula": "HfMo2Au", "functional": "PBE-GGA", "state": "relaxed", "energy_ev_per_cell": -34.7, "sg": "No. 216", "vol_a3_per_atom": 17.4, "cell": [[0.000, 3.265, 3.265], [3.265, 0.000, 3.265], [3.265, 3.265, 0.000]], "species": ["Au", "Hf", "Mo", "Mo"], "fractional_positions": [[0.250, 0.250, 0.250], [0.500, 0.500, 0.500], [0.000, 0.000, 0.000], [0.750, 0.750, 0.750]]}

***

Entry 3:
{"formula": "Hf4Mo2Au3N3", "functional": "PBE-GGA", "state": "relaxed", "energy_ev_per_cell": -212.5, "sg": "No. 15", "vol_a3_per_atom": 15.3, "cell": [[5.624, 0.000, 0.000], [2.785, 4.886, 0.000], [2.740, 1.592, 13.350]], "species": ["Au", "Au", "Au", "Au", "Au", "Au", "Hf", "Hf", "Hf", "Hf", "Hf", "Hf", "Hf", "Hf", "Mo", "Mo", "Mo", "Mo", "N", "N", "N", "N", "N", "N"], "fractional_positions": [[0.582, 0.716, 0.248], [0.879, 0.121, 0.250], [0.284, 0.418, 0.252], [0.716, 0.582, 0.748], [0.121, 0.879, 0.750], [0.418, 0.284, 0.752], [0.305, 0.140, 0.095], [0.975, 0.798, 0.095], [0.202, 0.025, 0.405], [0.860, 0.695, 0.405], [0.140, 0.305, 0.595], [0.798, 0.975, 0.595], [0.025, 0.202, 0.905], [0.695, 0.860, 0.905], [0.632, 0.477, 0.070], [0.523, 0.368, 0.430], [0.477, 0.632, 0.570], [0.368, 0.523, 0.930], [0.682, 0.137, 0.000], [0.000, 0.500, 0.000], [0.318, 0.863, 0.000], [0.137, 0.682, 0.500], [0.500, 0.000, 0.500], [0.863, 0.318, 0.500]]}

***

Entry 4:
{"formula": "Hf2Mo4Au3N3", "functional": "PBE-GGA", "state": "relaxed", "energy_ev_per_cell": -207.8, "sg": "No. 15", "vol_a3_per_atom": 14.5, "cell": [[-1.023, -1.870, 5.094], [-3.363, -4.324, 0.693], [11.700, -6.144, -2.797]], "species": ["Au", "Au", "Au", "Au", "Au", "Au", "Hf", "Hf", "Hf", "Hf", "Mo", "Mo", "Mo", "Mo", "Mo", "Mo", "Mo", "Mo", "N", "N", "N", "N", "N", "N"], "fractional_positions": [[0.579, 0.815, 0.246], [0.979, 0.021, 0.250], [0.185, 0.421, 0.254], [0.815, 0.579, 0.746], [0.021, 0.979, 0.750], [0.421, 0.185, 0.754], [0.533, 0.363, 0.104], [0.637, 0.467, 0.396], [0.363, 0.533, 0.604], [0.467, 0.637, 0.896], [0.869, 0.695, 0.074], [0.178, 0.041, 0.074], [0.959, 0.822, 0.426], [0.305, 0.131, 0.426], [0.695, 0.869, 0.574], [0.041, 0.178, 0.574], [0.822, 0.959, 0.926], [0.131, 0.305, 0.926], [0.500, 0.000, 0.000], [0.799, 0.350, 0.000], [0.650, 0.201, 0.500], [0.000, 0.500, 0.500], [0.350, 0.799, 0.500], [0.201, 0.650, 0.000]]}

***

Entry 5:
{"formula": "Hf2AuN", "functional": "PBE-GGA", "state": "relaxed", "energy_ev_per_cell": -71.9, "sg": "No. 194", "vol_a3_per_atom": 16.0, "cell": [[-2.405, 1.208, -1.823], [1.615, -2.643, -0.984], [-9.160, -8.099, 6.720]], "species": ["Au", "Au", "Hf", "Hf", "Hf", "Hf", "N", "N"], "fractional_positions": [[0.667, 0.333, 0.250], [0.333, 0.667, 0.750], [0.333, 0.667, 0.089], [0.333, 0.667, 0.411], [0.667, 0.333, 0.589], [0.667, 0.333, 0.911], [0.000, 0.000, 0.000], [0.000, 0.000, 0.500]]}

***

Entry 6:
{"formula": "Hf2AuN", "functional": "PBE-GGA", "state": "relaxed", "energy_ev_per_cell": -215.6, "sg": "No. 15", "vol_a3_per_atom": 16.0, "cell": [[0.653, 5.519, 0.912], [-1.774, 3.718, -3.840], [-12.108, -2.637, 7.182]], "species": ["Au", "Au", "Au", "Au", "Au", "Au", "Hf", "Hf", "Hf", "Hf", "Hf", "Hf", "Hf", "Hf", "Hf", "Hf", "Hf", "Hf", "N", "N", "N", "N", "N", "N"], "fractional_positions": [[0.416, 0.251, 0.250], [0.084, 0.916, 0.250], [0.749, 0.584, 0.250], [0.251, 0.416, 0.750], [0.916, 0.084, 0.750], [0.584, 0.749, 0.750], [0.363, 0.530, 0.089], [0.030, 0.196, 0.089], [0.697, 0.863, 0.089], [0.137, 0.303, 0.411], [0.804, 0.970, 0.411], [0.470, 0.637, 0.411], [0.530, 0.363, 0.589], [0.196, 0.030, 0.589], [0.863, 0.697, 0.589], [0.303, 0.137, 0.911], [0.970, 0.804, 0.911], [0.637, 0.470, 0.911], [0.667, 0.167, 0.000], [0.000, 0.500, 0.000], [0.333, 0.833, 0.000], [0.167, 0.667, 0.500], [0.500, 0.000, 0.500], [0.833, 0.333, 0.500]]}

***

Entry 7:
{"formula": "Hf4AuN3", "functional": "PBE-GGA", "state": "relaxed", "energy_ev_per_cell": -159.0, "sg": "No. 194", "vol_a3_per_atom": 13.7, "cell": [[3.217, 0.000, 0.000], [-1.608, 2.786, 0.000], [0.000, 0.000, 24.490]], "species": ["Au", "Au", "Hf", "Hf", "Hf", "Hf", "Hf", "Hf", "Hf", "Hf", "N", "N", "N", "N", "N", "N"], "fractional_positions": [[0.333, 0.667, 0.250], [0.667, 0.333, 0.750], [0.333, 0.667, 0.055], [0.000, 0.000, 0.158], [0.000, 0.000, 0.342], [0.333, 0.667, 0.445], [0.667, 0.333, 0.555], [0.000, 0.000, 0.658], [0.000, 0.000, 0.842], [0.667, 0.333, 0.945], [0.000, 0.000, 0.000], [0.667, 0.333, 0.106], [0.667, 0.333, 0.394], [0.000, 0.000, 0.500], [0.333, 0.667, 0.606], [0.333, 0.667, 0.894]]}

***

Entry 8:
{"formula": "Hf4PAuN2", "functional": "PBE-GGA", "state": "relaxed", "energy_ev_per_cell": -75.3, "sg": "No. 187", "vol_a3_per_atom": 15.3, "cell": [[-0.050, -2.332, 2.338], [2.557, 2.080, -0.203], [-6.015, 8.173, 8.025]], "species": ["Au", "Hf", "Hf", "Hf", "Hf", "N", "N", "P"], "fractional_positions": [[0.000, 0.000, 0.000], [0.667, 0.333, 0.172], [0.000, 0.000, 0.363], [0.000, 0.000, 0.637], [0.667, 0.333, 0.828], [0.333, 0.667, 0.264], [0.333, 0.667, 0.736], [0.667, 0.333, 0.500]]}

***

Entry 9:
{"formula": "Hf4PbAuN2", "functional": "PBE-GGA", "state": "relaxed", "energy_ev_per_cell": -71.4, "sg": "No. 187", "vol_a3_per_atom": 16.6, "cell": [[-0.446, 3.181, 0.647], [-1.916, -2.245, 1.422], [9.208, -0.934, 10.933]], "species": ["Au", "Hf", "Hf", "Hf", "Hf", "N", "N", "Pb"], "fractional_positions": [[0.000, 0.000, 0.500], [0.000, 0.000, 0.173], [0.333, 0.667, 0.345], [0.333, 0.667, 0.655], [0.000, 0.000, 0.827], [0.667, 0.333, 0.261], [0.667, 0.333, 0.739], [0.333, 0.667, 0.000]]}

***

Entry 10:
{"formula": "Hf4AuSN2", "functional": "PBE-GGA", "state": "relaxed", "energy_ev_per_cell": -74.5, "sg": "No. 187", "vol_a3_per_atom": 15.1, "cell": [[-2.717, -0.790, 1.670], [2.093, -2.352, -0.940], [6.460, 1.299, 11.126]], "species": ["Au", "Hf", "Hf", "Hf", "Hf", "N", "N", "S"], "fractional_positions": [[0.000, 0.000, 0.000], [0.667, 0.333, 0.171], [0.000, 0.000, 0.361], [0.000, 0.000, 0.639], [0.667, 0.333, 0.829], [0.333, 0.667, 0.263], [0.333, 0.667, 0.737], [0.667, 0.333, 0.500]]}

***

Entry 11:
{"formula": "Hf4SbAuN2", "functional": "PBE-GGA", "state": "relaxed", "energy_ev_per_cell": -72.2, "sg": "No. 187", "vol_a3_per_atom": 16.4, "cell": [[3.313, 0.000, 0.000], [-1.656, 2.869, 0.000], [0.000, 0.000, 13.771]], "species": ["Au", "Hf", "Hf", "Hf", "Hf", "N", "N", "Sb"], "fractional_positions": [[0.000, 0.000, 0.000], [0.667, 0.333, 0.160], [0.000, 0.000, 0.337], [0.000, 0.000, 0.663], [0.667, 0.333, 0.840], [0.333, 0.667, 0.246], [0.333, 0.667, 0.754], [0.667, 0.333, 0.500]]}

***

Entry 12:
{"formula": "Hf4SnAuN2", "functional": "PBE-GGA", "state": "relaxed", "energy_ev_per_cell": -72.4, "sg": "No. 187", "vol_a3_per_atom": 16.3, "cell": [[3.260, 0.000, 0.000], [-1.630, 2.823, 0.000], [0.000, 0.000, 14.189]], "species": ["Au", "Hf", "Hf", "Hf", "Hf", "N", "N", "Sn"], "fractional_positions": [[0.000, 0.000, 0.000], [0.667, 0.333, 0.157], [0.000, 0.000, 0.332], [0.000, 0.000, 0.668], [0.667, 0.333, 0.843], [0.333, 0.667, 0.242], [0.333, 0.667, 0.758], [0.667, 0.333, 0.500]]}

***

Q: What is the formula in the eleventh record?
A: Hf4SbAuN2